No. 1
The following is a GGA-PBE calculation of K2AlSn after structural relaxation, from Alexandria via LeMat-Bulk.

Properties
**ΔE to the lowest computed polymorph**: 0.54 eV per formula unit
**Total energy**: -8.74 eV per cell
**Energy of formation from the pure elements**: 0.30 eV/atom

The structure in POSCAR format:
```
K2AlSn
1.0
0.0000 4.1143 4.1143
4.1143 0.0000 4.1143
4.1143 4.1143 0.0000
Sn K Al
1 2 1
direct
0.5000 0.5000 0.5000 Sn
0.7500 0.7500 0.7500 K
0.2500 0.2500 0.2500 K
0.0000 0.0000 0.0000 Al
```

---

No. 2
The following is a GGA-PBE calculation of La3Mg2Hg after structural relaxation, from Alexandria via LeMat-Bulk.

Properties
**ΔE to the lowest computed polymorph**: 0.04 eV per formula unit
**Total energy**: -19.71 eV per cell
**Energy of formation from the pure elements**: -0.24 eV/atom

The structure in POSCAR format:
```
La3Mg2Hg
1.0
-3.7895 -0.5631 0.9999
0.7861 -3.7873 0.8462
2.4782 2.9890 11.0751
Hg La Mg
1 3 2
direct
0.5000 0.5000 0.5000 Hg
0.0000 0.0000 0.0000 La
0.0000 0.0000 0.6635 La
0.0000 0.0000 0.3365 La
0.5000 0.5000 0.8355 Mg
0.5000 0.5000 0.1645 Mg
```

---

No. 3
The following is a GGA-PBE calculation of EuGdIrRu after structural relaxation, from Alexandria via LeMat-Bulk.

Properties
**Total energy**: -43.27 eV per cell
**Energy of formation from the pure elements**: -0.20 eV/atom

The structure in POSCAR format:
```
EuGdIrRu
1.0
4.8965 0.0000 0.0000
2.4482 4.2405 0.0000
2.4482 1.4135 3.9980
Eu Gd Ru Ir
1 1 1 1
direct
0.5000 0.5000 0.5000 Eu
0.0000 0.0000 0.0000 Gd
0.7500 0.7500 0.7500 Ru
0.2500 0.2500 0.2500 Ir
```

---

No. 4
The following is a GGA-PBE calculation of NpAgHg after structural relaxation, from Alexandria via LeMat-Bulk.

Properties
**ΔE to the lowest computed polymorph**: 0.51 eV per formula unit
**Total energy**: -30.49 eV per cell
**Energy of formation from the pure elements**: 0.28 eV/atom

The structure in POSCAR format:
```
NpAgHg
1.0
5.5111 0.0000 0.0000
2.7556 4.2702 0.0000
2.7556 0.0000 5.7621
Hg Np Ag
2 2 2
direct
0.6305 0.0000 0.7391 Hg
0.3695 0.0000 0.2609 Hg
0.8433 0.3135 0.0000 Np
0.1567 0.6865 0.0000 Np
0.7500 0.5000 0.5000 Ag
0.2500 0.5000 0.5000 Ag
```

---

No. 5
The following is a GGA-PBE calculation of Hf2PaCo6H after structural relaxation, from Alexandria via LeMat-Bulk.

Properties
**Total energy**: -77.05 eV per cell

The structure in POSCAR format:
```
Hf2PaCo6H
1.0
5.2695 0.0126 0.0135
-0.0148 6.2910 0.7216
2.6170 3.6626 4.4550
Co H Hf Pa
6 1 2 1
direct
0.2755 0.2238 0.9489 Co
0.7758 0.7237 0.4480 Co
0.7757 0.2238 0.9483 Co
0.7244 0.7762 0.0511 Co
0.2242 0.2763 0.5520 Co
0.2243 0.7762 0.0517 Co
0.0000 0.0000 0.0000 H
0.2305 0.7690 0.5388 Hf
0.7695 0.2310 0.4612 Hf
0.5000 0.5000 0.0000 Pa
```

---

No. 6
The following is a GGA-PBE calculation of Hg2NCl after structural relaxation, from Alexandria via LeMat-Bulk.

Properties
**Total energy**: -5.91 eV per cell

The structure in POSCAR format:
```
Hg2NCl
1.0
0.0000 3.3579 3.3579
3.3579 0.0000 3.3579
3.3579 3.3579 0.0000
Hg Cl N
2 1 1
direct
0.7500 0.7500 0.7500 Hg
0.2500 0.2500 0.2500 Hg
0.5000 0.5000 0.5000 Cl
0.0000 0.0000 0.0000 N
```